Compound: RbAcSn2Cl8
Source: the Alexandria database
Functional: GGA-PBE
Structure: optimized geometry

abc: 7.044 6.629 9.459
angles: 87.07 86.67 88.02
Positions (direct):
Rb: 0.000 0.000 0.500
Ac: 0.000 0.000 0.000
Sn: 0.487 0.495 0.744
Sn: 0.513 0.505 0.256
Cl: 0.190 0.778 0.224
Cl: 0.671 0.740 0.041
Cl: 0.857 0.261 0.220
Cl: 0.810 0.222 0.776
Cl: 0.329 0.260 0.959
Cl: 0.143 0.739 0.780
Cl: 0.637 0.715 0.446
Cl: 0.363 0.285 0.554

* formation energy without anion corrections: -1.6289 eV/atom
* total moment: 0.000 μB/f.u.
* total energy: -47.401 eV for the cell shown
* space group: No. 2